[1]
12
Lattice="6.836 0.000 0.000 0.000 7.000 0.000 -3.418 -3.500 6.757" Properties=species:S:1:pos:R:3 comment="HoTm3Pt2, optimized geometry, DFT PBE-GGA" e_form_ev_per_atom=-0.89 de_polymorph_mev_per_atom=112 mass_density_g_cm3=10.9 pbc="T T T"
Ho 0.000 3.500 0.000
Ho 0.000 0.000 0.000
Tm 3.418 1.750 0.000
Tm 3.418 5.250 0.000
Tm 3.418 -1.750 3.568
Tm 0.000 1.750 3.190
Tm 0.000 5.250 3.190
Tm 3.418 1.750 3.568
Pt 1.436 0.000 4.860
Pt 4.855 0.000 1.898
Pt -1.436 3.500 4.860
Pt 1.982 3.500 1.898

=====

[2]
4
Lattice="-2.522 -6.862 1.328 2.020 0.025 3.965 -3.666 1.707 1.857" Properties=species:S:1:pos:R:3 comment="BaSc2Br, optimized geometry, DFT PBE-GGA" formation_energy_uncorrected_ev_per_atom=-0.10 de_polymorph_mev_per_atom=292 mass_density_g_cm3=3.5 pbc="T T T"
Ba -0.251 -3.419 2.646
Br -3.094 -2.578 1.592
Sc 0.000 0.000 0.000
Sc -0.823 0.866 2.911

=====

[3]
16
Lattice="-2.294 -1.552 4.745 6.639 -3.766 1.978 3.753 9.139 4.804" Properties=species:S:1:pos:R:3 comment="BaPm3Hg4, optimized geometry, DFT PBE-GGA" e_form_ev_per_atom=-0.43 mass_density_g_cm3=9.6 pbc="T T T"
Hg 3.962 -3.674 3.894
Hg 5.839 0.896 6.296
Hg 0.383 -1.644 2.828
Hg 2.260 2.926 5.230
Hg 5.633 2.407 9.863
Hg 6.044 -0.615 2.729
Hg 2.466 1.415 1.663
Hg 2.054 4.436 8.797
Ba 3.320 -1.883 0.989
Ba 5.196 2.687 3.391
Pm 0.000 0.000 0.000
Pm 1.876 4.570 2.402
Pm 1.670 6.080 5.970
Pm -0.211 1.507 3.578
Pm 4.989 4.197 6.960
Pm 3.109 -0.376 4.566

=====

[4]
5
Lattice="3.841 0.000 0.000 0.000 5.727 0.000 0.000 0.000 3.841" Properties=species:S:1:pos:R:3 comment="VTeAsN2, optimized geometry, DFT PBE-GGA" formation_energy_uncorrected_ev_per_atom=0.60 de_polymorph_mev_per_atom=0 mass_density_g_cm3=5.5 pbc="T T T"
N 0.000 0.000 1.920
N 1.920 0.000 0.000
As 1.920 2.864 1.920
Te 0.000 2.864 0.000
V 0.000 0.000 0.000

=====

[5]
4
Lattice="3.329 0.000 0.000 0.000 3.329 0.000 0.000 0.000 5.932" Properties=species:S:1:pos:R:3 comment="ZnTc2Hg, optimized geometry, DFT PBE-GGA" e_form_ev_per_atom=0.49 de_polymorph_mev_per_atom=355 mass_density_g_cm3=11.7 pbc="T T T"
Hg 1.664 1.664 4.449
Tc 0.000 0.000 0.305
Tc 0.000 0.000 2.661
Zn 1.664 1.664 1.483

=====

[6]
12
Lattice="6.634 0.637 -4.703 -2.682 7.598 -1.303 -1.694 -0.637 7.954" Properties=species:S:1:pos:R:3 comment="Ho3TmSc8, optimized geometry, DFT PBE-GGA" e_form_ev_per_atom=0.30 mass_density_g_cm3=5.0 pbc="T T T"
Ho 0.876 5.867 -1.331
Ho 1.382 1.731 3.279
Ho -2.188 3.481 3.326
Tm 0.001 0.000 0.000
Sc 2.222 2.050 -0.681
Sc 0.036 5.548 2.628
Sc -2.428 5.548 1.007
Sc 4.685 2.050 0.941
Sc -0.401 3.177 0.611
Sc 4.850 0.936 -1.993
Sc 2.661 4.421 1.338
Sc -2.594 6.662 3.940